The following is a GGA-PBE calculation of ErTm2ScSe6 after structural relaxation, from the Alexandria database.

```
data_ErTm2ScSe6
_cell_length_a 7.031
_cell_length_b 7.031
_cell_length_c 7.548
_cell_angle_alpha 62.24
_cell_angle_beta 62.24
_cell_angle_gamma 60.00
_symmetry_space_group_name_H-M 'P 1'
_symmetry_Int_Tables_number 1
_symmetry_space_group_name_Hall 'P 1'
loop_
_atom_site_label
_atom_site_fract_x
_atom_site_fract_y
_atom_site_fract_z
_atom_site_occupancy
Se1 0.715 0.111 0.757 1
Se2 0.596 0.222 0.250 1
Se3 0.222 0.931 0.250 1
Se4 0.111 0.417 0.757 1
Se5 0.417 0.715 0.757 1
Se6 0.931 0.596 0.250 1
Tm1 0.013 0.013 0.962 1
Tm2 0.515 0.515 0.456 1
Er1 0.819 0.819 0.542 1
Sc1 0.322 0.322 0.034 1
```

E_tot ... -5.865 eV/atom
Crystal system ... trigonal